[1]
Material: Si8Ni3Rh2
Method: DFT, GGA-PBE
State: relaxed

Values from the calculation:
* crystal system: monoclinic
* uncorrected formation energy: -0.364 eV/atom
* total magnetization: 0.00 μB/cell
* density: 5651 kg/m³

abc: 3.7804 7.6707 7.2550
angles: 122.08 90.00 90.00
Element x y z (fractional)
Si 0.0000 0.6077 0.2124
Si 0.0000 0.3923 0.7876
Si 0.0000 0.1339 0.2681
Si 0.0000 0.8661 0.7319
Si 0.5000 0.6320 0.7478
Si 0.5000 0.1192 0.7536
Si 0.5000 0.8808 0.2464
Si 0.5000 0.3680 0.2522
Ni 0.5000 0.0000 0.0000
Ni 0.0000 0.2415 0.0034
Ni 0.0000 0.7585 0.9966
Rh 0.5000 0.2644 0.5324
Rh 0.5000 0.7356 0.4676

[2]
Material: Si2NiRh2
Method: DFT, GGA-PBE
State: relaxed

Values from the calculation:
* crystal system: tetragonal
* uncorrected formation energy: -0.484 eV/atom
* total magnetization: 0.08 μB/cell
* density: 7971 kg/m³

abc: 6.9704 6.9704 2.7500
angles: 90.00 90.00 90.00
Element x y z (fractional)
Ni 0.0000 0.0000 0.0000
Ni 0.5000 0.5000 0.0000
Si 0.1566 0.6566 0.5000
Si 0.6566 0.8434 0.5000
Si 0.8434 0.3434 0.5000
Si 0.3434 0.1566 0.5000
Rh 0.3573 0.8573 0.0000
Rh 0.8573 0.6427 0.0000
Rh 0.6427 0.1427 0.0000
Rh 0.1427 0.3573 0.0000

[3]
Material: Sm2Si4Ni3Rh
Method: DFT, GGA-PBE
State: relaxed

Values from the calculation:
* crystal system: tetragonal
* uncorrected formation energy: -0.890 eV/atom
* total magnetization: 0.00 μB/cell
* density: 7310 kg/m³

abc: 4.0169 4.0169 9.7428
angles: 90.00 90.00 90.00
Element x y z (fractional)
Sm 0.5000 0.0000 0.2416
Sm 0.0000 0.5000 0.7584
Si 0.5000 0.5000 0.0000
Si 0.0000 0.0000 0.0000
Si 0.5000 0.0000 0.6359
Si 0.0000 0.5000 0.3641
Ni 0.0000 0.0000 0.5000
Ni 0.5000 0.0000 0.8779
Ni 0.0000 0.5000 0.1221
Rh 0.5000 0.5000 0.5000

[4]
Material: SmSi2NiRh
Method: DFT, GGA-PBE
State: relaxed

Values from the calculation:
* crystal system: tetragonal
* uncorrected formation energy: -0.930 eV/atom
* total magnetization: 0.00 μB/cell
* density: 7520 kg/m³

abc: 4.0332 4.0332 5.7538
angles: 110.52 110.52 90.00
Element x y z (fractional)
Sm 0.0000 0.0000 0.0000
Si 0.6227 0.6227 0.2454
Si 0.3773 0.3773 0.7546
Ni 0.7500 0.2500 0.5000
Rh 0.2500 0.7500 0.5000

[5]
Material: Sm2Si3Ni4Rh
Method: DFT, GGA-PBE
State: relaxed

Values from the calculation:
* crystal system: tetragonal
* uncorrected formation energy: -0.704 eV/atom
* total magnetization: 0.00 μB/cell
* density: 7642 kg/m³

abc: 3.9864 3.9864 9.8811
angles: 90.00 90.00 90.00
Element x y z (fractional)
Sm 0.5000 0.0000 0.2489
Sm 0.0000 0.5000 0.7511
Si 0.0000 0.0000 0.5000
Si 0.5000 0.0000 0.8788
Si 0.0000 0.5000 0.1212
Ni 0.5000 0.5000 0.0000
Ni 0.0000 0.0000 0.0000
Ni 0.5000 0.0000 0.6446
Ni 0.0000 0.5000 0.3554
Rh 0.5000 0.5000 0.5000

[6]
Material: Sm2Si2NiRh5
Method: DFT, GGA-PBE
State: relaxed

Values from the calculation:
* crystal system: tetragonal
* uncorrected formation energy: -0.703 eV/atom
* total magnetization: 1.15 μB/cell
* density: 9331 kg/m³

abc: 3.4617 9.7793 9.7793
angles: 90.00 90.00 90.00
Site moments in Bohr magnetons follow the coordinates.
Element x y z (fractional)
Sm 0.0000 0.6750 0.1750  -0.01
Sm 0.0000 0.3250 0.8250  -0.01
Sm 0.0000 0.1750 0.3250  -0.01
Sm 0.0000 0.8250 0.6750  -0.01
Si 0.0000 0.1254 0.6254  0.00
Si 0.0000 0.8746 0.3746  0.00
Si 0.0000 0.6254 0.8746  0.00
Si 0.0000 0.3746 0.1254  0.00
Ni 0.0000 0.0000 0.0000  0.43
Ni 0.0000 0.5000 0.5000  0.43
Rh 0.5000 0.2104 0.0666  0.04
Rh 0.5000 0.7896 0.9334  0.04
Rh 0.5000 0.0666 0.7896  0.04
Rh 0.5000 0.7104 0.4334  0.04
Rh 0.5000 0.9334 0.2104  0.04
Rh 0.5000 0.2896 0.5666  0.04
Rh 0.5000 0.5666 0.7104  0.04
Rh 0.5000 0.4334 0.2896  0.04
Rh 0.5000 0.5000 0.0000  0.03
Rh 0.5000 0.0000 0.5000  0.03

[7]
Material: SmSiNiRh
Method: DFT, GGA-PBE
State: relaxed

Values from the calculation:
* crystal system: orthorhombic
* uncorrected formation energy: -0.454 eV/atom
* total magnetization: 0.00 μB/cell
* density: 7345 kg/m³

abc: 4.2117 3.7951 5.1706
angles: 111.53 90.00 90.00
Element x y z (fractional)
Sm 0.5000 0.2069 0.4138
Si 0.0000 0.5857 0.1715
Ni 0.0000 0.9537 0.9073
Rh 0.5000 0.4815 0.9630

[8]
Material: SrSi2NiRh
Method: DFT, GGA-PBE
State: relaxed

Values from the calculation:
* crystal system: tetragonal
* uncorrected formation energy: -0.696 eV/atom
* total magnetization: 0.00 μB/cell
* density: 5787 kg/m³

abc: 4.1106 4.1106 5.9452
angles: 110.22 110.22 90.00
Element x y z (fractional)
Sr 0.0000 0.0000 0.0000
Si 0.6340 0.6340 0.2681
Si 0.3660 0.3660 0.7319
Ni 0.2500 0.7500 0.5000
Rh 0.7500 0.2500 0.5000